[1]
Bi2RuO5: optimized geometry, PBE.

Raw formation energy = -1.050 eV/atom
Spin magnetization = 0.0000 μB/atom
Space group = Pnma
N(E_F) = 4.30 states/eV/f.u.

The structure in POSCAR format:
```
Bi2RuO5
1.0
7.813 0.000 0.000
0.000 3.778 0.000
0.000 0.000 15.921
Bi Ru O
8 4 20
direct
0.124 0.250 0.078
0.174 0.250 0.751
0.326 0.750 0.251
0.376 0.750 0.578
0.624 0.250 0.422
0.674 0.250 0.749
0.826 0.750 0.249
0.876 0.750 0.922
0.090 0.250 0.430
0.410 0.750 0.930
0.590 0.250 0.070
0.910 0.750 0.570
0.056 0.750 0.460
0.073 0.750 0.167
0.122 0.750 0.646
0.183 0.750 0.989
0.225 0.250 0.323
0.275 0.750 0.823
0.317 0.250 0.489
0.378 0.250 0.146
0.427 0.250 0.667
0.444 0.250 0.960
0.556 0.750 0.040
0.573 0.750 0.333
0.622 0.750 0.854
0.683 0.750 0.511
0.725 0.250 0.177
0.775 0.750 0.677
0.817 0.250 0.011
0.878 0.250 0.354
0.927 0.250 0.833
0.944 0.250 0.540
```

[2]
Bi3RuO: optimized geometry, PBE.

Raw formation energy = 0.260 eV/atom
Spin magnetization = 0.0000 μB/atom
Space group = Pm-3m
N(E_F) = 3.43 states/eV/f.u.
Excess energy over the best structure of this formula in the dataset = 0 meV/atom

The structure in POSCAR format:
```
Bi3RuO
1.0
4.811 0.000 0.000
0.000 4.811 0.000
0.000 0.000 4.811
Bi Ru O
3 1 1
direct
0.000 0.000 0.500
0.000 0.500 0.000
0.500 0.000 0.000
0.500 0.500 0.500
0.000 0.000 0.000
```

[3]
BiRuO3: optimized geometry, PBE.

Raw formation energy = 0.230 eV/atom
Spin magnetization = 0.7267 μB/atom
Space group = Pm-3m
N(E_F) = 3.52 states/eV/f.u.

The structure in POSCAR format:
```
BiRuO3
1.0
4.230 0.000 0.000
0.000 4.230 0.000
0.000 0.000 4.230
Bi Ru O
1 1 3
direct
0.000 0.000 0.000
0.500 0.500 0.500
0.000 0.000 0.500
0.000 0.500 0.000
0.500 0.000 0.000
```

[4]
BiRuO2: optimized geometry, PBE.

Raw formation energy = -0.534 eV/atom
Spin magnetization = 0.0003 μB/atom
Space group = R-3m
N(E_F) = 3.81 states/eV/f.u.

The structure in POSCAR format:
```
BiRuO2
1.0
1.644 0.949 6.456
-1.644 0.949 6.456
0.000 -1.899 6.456
Bi Ru O
1 1 2
direct
0.000 0.000 0.000
0.500 0.500 0.500
0.122 0.122 0.122
0.878 0.878 0.878
```

[5]
BiRuO2: optimized geometry, PBE.

Raw formation energy = -0.228 eV/atom
Spin magnetization = 0.0000 μB/atom
Space group = R-3m
N(E_F) = 3.51 states/eV/f.u.

The structure in POSCAR format:
```
BiRuO2
1.0
1.545 0.892 7.396
-1.545 0.892 7.396
0.000 -1.783 7.396
Bi Ru O
1 1 2
direct
0.000 0.000 0.000
0.500 0.500 0.500
0.418 0.418 0.418
0.582 0.582 0.582
```

[6]
BiRuO3: optimized geometry, PBE.

Raw formation energy = -0.896 eV/atom
Spin magnetization = 0.0000 μB/atom
Space group = C2/m
N(E_F) = 2.39 states/eV/f.u.

The structure in POSCAR format:
```
BiRuO3
1.0
5.368 -1.957 0.000
5.368 1.957 0.000
-1.366 0.000 6.512
Bi Ru O
2 2 6
direct
0.115 0.115 0.368
0.885 0.885 0.632
0.364 0.364 0.087
0.636 0.636 0.913
0.173 0.173 0.959
0.320 0.320 0.380
0.432 0.432 0.818
0.568 0.568 0.182
0.680 0.680 0.620
0.827 0.827 0.041
```

[7]
Bi2RuO6: optimized geometry, PBE.

Raw formation energy = -1.006 eV/atom
Spin magnetization = 0.1433 μB/atom
Space group = P4_2/mnm
N(E_F) = 5.02 states/eV/f.u.
Excess energy over the best structure of this formula in the dataset = 0 meV/atom

The structure in POSCAR format:
```
Bi2RuO6
1.0
5.052 0.000 0.000
0.000 5.052 0.000
0.000 0.000 10.180
Bi Ru O
4 2 12
direct
0.000 0.000 0.168
0.000 0.000 0.832
0.500 0.500 0.332
0.500 0.500 0.668
0.000 0.000 0.500
0.500 0.500 0.000
0.182 0.182 0.353
0.182 0.182 0.647
0.228 0.228 0.000
0.272 0.728 0.500
0.318 0.682 0.147
0.318 0.682 0.853
0.682 0.318 0.147
0.682 0.318 0.853
0.728 0.272 0.500
0.772 0.772 0.000
0.818 0.818 0.353
0.818 0.818 0.647
```

[8]
BiSbRuO6: optimized geometry, PBE.

Raw formation energy = -1.204 eV/atom
Spin magnetization = 0.2228 μB/atom
Space group = P-31c
N(E_F) = 3.06 states/eV/f.u.

The structure in POSCAR format:
```
BiSbRuO6
1.0
5.346 0.000 0.000
-2.673 4.630 0.000
0.000 0.000 9.937
Bi Sb Ru O
2 2 2 12
direct
0.000 0.000 0.000
0.000 0.000 0.500
0.333 0.667 0.250
0.667 0.333 0.750
0.333 0.667 0.750
0.667 0.333 0.250
0.003 0.367 0.640
0.003 0.636 0.860
0.364 0.367 0.860
0.364 0.997 0.640
0.367 0.003 0.140
0.367 0.364 0.360
0.633 0.636 0.640
0.633 0.997 0.860
0.636 0.003 0.360
0.636 0.633 0.140
0.997 0.364 0.140
0.997 0.633 0.360
```